[1]
Computed, not measured: a relaxed CsCaTmO3 crystal at the PBE level of DFT.

Summary:
Its uncorrected formation energy is -1503 kJ/mol of formula units. Its density of states at the Fermi level is 0.00 states/eV/f.u. The mass density is 4.3 g/cm3. As for the space group: P2_1/m, No. 11. Its total magnetization is 0.1 μB per formula unit.

```
12
Lattice="8.3924 0.0000 0.0000 0.0000 3.4960 0.0000 -1.3687 0.0000 10.1859" Properties=species:S:1:pos:R:3 pbc="T T T"
Cs 1.1541 0.8740 2.0176
Cs 5.8696 2.6220 8.1683
Ca 2.2933 2.6220 8.9535
Ca 4.7304 0.8740 1.2324
Tm 0.3692 0.8740 6.0182
Tm 6.6545 2.6220 4.1677
O 0.3506 2.6220 4.4729
O 0.7247 2.6220 7.3072
O 3.3558 2.6220 1.0457
O 3.6679 0.8740 9.1402
O 6.2990 0.8740 2.8787
O 6.6731 0.8740 5.7130
```

---

[2]
Computed, not measured: a relaxed UP4O12 crystal at the PBE level of DFT.

Summary:
Its uncorrected formation energy is -3832 kJ/mol of formula units. Its density of states at the Fermi level is 6.91 states/eV/f.u. The mass density is 3.7 g/cm3. As for the space group: I422, No. 97. Its total magnetization is 0.1 μB per formula unit. Its distance to the lowest polymorph of the same formula is 0 meV/atom.

```
68
Lattice="-5.7224 5.7224 7.5248 5.7224 -5.7224 7.5248 5.7224 5.7224 -7.5248" Properties=species:S:1:pos:R:3 pbc="T T T"
U 5.7224 0.0000 0.0000
U 0.0000 0.0000 3.2831
U 0.0000 5.7224 0.0000
U 0.0000 0.0000 11.7665
P 6.9876 2.5890 -2.5695
P 2.7467 1.7712 -1.3806
P 3.9512 -2.9757 6.1441
P 2.5890 4.4573 -2.5695
P 8.6982 1.7712 1.3806
P 1.7712 2.7467 1.3806
P 4.4573 2.5890 2.5695
P 3.1335 1.2652 4.9553
P 3.1335 -1.2652 10.0943
P -1.2652 3.1335 4.9553
P 1.7712 8.6982 -1.3806
P 2.9757 3.9512 6.1441
P 2.5890 6.9876 2.5695
P 3.9512 2.9757 8.9054
P -2.9757 3.9512 8.9054
P 1.2652 3.1335 10.0943
O 4.4767 4.2642 -5.6012
O -1.2457 1.4582 13.1259
O 3.8968 -0.8214 1.2420
O 1.4582 -1.2457 1.9236
O 6.4932 1.8026 -1.3936
O 3.2480 3.0127 -2.2765
O 7.2650 -1.5426 3.7624
O 6.1294 3.7179 -3.0701
O 2.7097 -2.4744 5.2482
O 7.5481 0.8214 1.2420
O 2.5100 2.5100 0.0000
O 3.2124 -3.2124 7.5248
O 4.2642 6.9682 -5.6012
O 4.9517 1.8026 1.3936
O 1.2457 1.4582 1.9236
O 4.9011 -1.8257 6.2828
O 3.7179 5.3155 -3.0701
O 2.0045 0.4070 4.4547
O 1.8026 4.9517 -1.3936
O 4.1799 1.5426 3.7624
O 8.1969 3.0127 2.2765
O 0.8214 3.8968 1.2420
O 3.0127 3.2480 2.2765
O -0.4070 2.0045 4.4547
O 3.9198 0.7708 6.1311
O 3.9198 -0.7708 8.9184
O 5.3155 3.7179 3.0701
O 3.0127 8.1969 -2.2765
O 6.5438 1.8257 6.2828
O 2.4744 2.7097 5.2482
O -1.5426 4.1799 3.7624
O 1.8026 6.4932 1.3936
O 2.0045 -0.4070 10.5949
O 3.7179 6.1294 3.0701
O -0.8214 7.5481 1.2420
O 6.9682 4.2642 5.6012
O -0.7708 3.9198 6.1311
O 4.2642 4.4767 5.6012
O -3.2124 3.2124 7.5248
O 3.2124 3.2124 7.5248
O 1.8257 4.9011 6.2828
O 2.7097 2.4744 9.8013
O 0.4070 2.0045 10.5949
O 1.5426 7.2650 3.7624
O -2.4744 2.7097 9.8013
O 0.7708 3.9198 8.9184
O 1.4582 1.2457 13.1259
O -1.8257 6.5438 6.2828
```

---

[3]
Computed, not measured: a relaxed Zr2N2O crystal at the PBE level of DFT.

Summary:
Its uncorrected formation energy is -949 kJ/mol of formula units. The mass density is 5.2 g/cm3. As for the space group: C2/m, No. 12. Its total magnetization is 0.0 μB per formula unit.

```
20
Lattice="5.3809 -1.6376 0.0000 5.3809 1.6376 0.0000 -5.1915 0.0000 16.3868" Properties=species:S:1:pos:R:3 pbc="T T T"
Zr -0.7810 0.0000 2.7789
Zr -1.5287 0.0000 12.1299
Zr 2.0957 0.0000 1.2515
Zr 0.5786 0.0000 6.8354
Zr 4.9917 0.0000 9.5514
Zr 3.4746 0.0000 15.1353
Zr 7.0989 0.0000 4.2569
Zr 6.3512 0.0000 13.6079
N -3.2725 0.0000 15.5025
N 0.3768 0.0000 4.6480
N -0.4980 0.0000 14.2157
N 3.1478 0.0000 3.3676
N 2.4225 0.0000 13.0192
N 6.0682 0.0000 2.1711
N 5.1935 0.0000 11.7387
N 8.8427 0.0000 0.8842
O -1.6992 0.0000 10.0435
O 0.8331 0.0000 8.9996
O 4.7371 0.0000 7.3872
O 7.2695 0.0000 6.3432
```

---

[4]
Computed, not measured: a relaxed CaAc6Er crystal at the PBE level of DFT.

Summary:
Its density of states at the Fermi level is 11.12 states/eV/f.u. The mass density is 7.7 g/cm3. As for the formation energy: 0.029 eV per atom. As for the space group: P4/mmm, No. 123. Its total magnetization is 0.0 μB per formula unit.

```
8
Lattice="5.5351 0.0000 0.0000 0.0000 5.5351 0.0000 0.0000 0.0000 11.0766" Properties=species:S:1:pos:R:3 pbc="T T T"
Ca 0.0000 0.0000 0.0000
Ac 0.0000 2.7675 2.8458
Ac 0.0000 2.7675 8.2308
Ac 2.7675 0.0000 2.8458
Ac 2.7675 0.0000 8.2308
Ac 2.7675 2.7675 0.0000
Ac 2.7675 2.7675 5.5383
Er 0.0000 0.0000 5.5383
```

---

[5]
Computed, not measured: a relaxed InSb4W crystal at the PBE level of DFT.

Summary:
Its uncorrected formation energy is 617 kJ/mol of formula units. Its density of states at the Fermi level is 4.11 states/eV/f.u. The mass density is 7.8 g/cm3. As for the space group: F-43m, No. 216. Its total magnetization is 4.0 μB per formula unit.

```
6
Lattice="0.0000 4.3771 4.3771 4.3771 0.0000 4.3771 4.3771 4.3771 0.0000" Properties=species:S:1:pos:R:3 pbc="T T T"
In 0.0000 0.0000 0.0000
Sb 5.4746 3.2797 3.2797
Sb 3.2797 5.4746 3.2797
Sb 3.2797 3.2797 5.4746
Sb 5.4746 5.4746 5.4746
W 2.1886 2.1886 2.1886
```

---

[6]
Computed, not measured: a relaxed Pm6CdPb2 crystal at the PBE level of DFT.

Summary:
Its density of states at the Fermi level is 10.04 states/eV/f.u. The mass density is 8.0 g/cm3. As for the formation energy: -0.325 eV per atom. As for the space group: P-62m, No. 189. Its total magnetization is 4.0 μB per formula unit.

```
9
Lattice="8.6183 0.0000 0.0000 -4.3092 7.4637 0.0000 0.0000 0.0000 4.4875" Properties=species:S:1:pos:R:3 pbc="T T T"
Pm -1.7569 3.0430 0.0000
Pm -3.1947 5.5334 2.2438
Pm 1.1144 1.9303 2.2438
Pm 3.5138 0.0000 0.0000
Pm 2.5523 4.4207 0.0000
Pm 6.3895 0.0000 2.2438
Cd 0.0000 0.0000 0.0000
Pb 0.0000 4.9758 2.2438
Pb 4.3092 2.4879 2.2438
```